An optimized crystal structure of SeO, computed with PBE.

Lattice parameters (Å, degrees): 6.534 6.534 6.534 109.47 109.47 109.47
Atoms (fractional coordinates):
Se: 0.000 0.000 0.270
Se: 0.000 0.270 0.000
Se: 0.270 0.000 0.000
Se: 0.730 0.730 0.730
O: 0.000 0.000 0.528
O: 0.000 0.528 0.000
O: 0.472 0.472 0.472
O: 0.528 0.000 0.000

Summary:
Offset from the most stable computed form, eV per formula unit: 0.87
Energy relative to the elements, uncorrected, eV per formula unit: 0.1

---

An optimized crystal structure of SeO4, computed with PBE.

Lattice parameters (Å, degrees): 5.245 7.641 8.657 90.00 90.00 90.00
Atoms (fractional coordinates):
Se: 0.194 0.010 0.060
Se: 0.306 0.990 0.560
Se: 0.694 0.490 0.940
Se: 0.806 0.510 0.440
O: 0.089 0.615 0.442
O: 0.108 0.931 0.411
O: 0.113 0.800 0.048
O: 0.122 0.941 0.714
O: 0.378 0.059 0.214
O: 0.387 0.200 0.548
O: 0.392 0.069 0.911
O: 0.411 0.385 0.942
O: 0.589 0.885 0.558
O: 0.608 0.569 0.589
O: 0.613 0.700 0.952
O: 0.622 0.559 0.286
O: 0.878 0.441 0.786
O: 0.887 0.300 0.452
O: 0.892 0.431 0.089
O: 0.911 0.115 0.058

Summary:
Offset from the most stable computed form, eV per formula unit: 0.00
Energy relative to the elements, uncorrected, eV per formula unit: 0.8

---

An optimized crystal structure of SeO, computed with PBE.

Lattice parameters (Å, degrees): 6.398 6.398 6.398 90.00 90.00 90.00
Atoms (fractional coordinates):
Se: 0.000 0.250 0.500
Se: 0.000 0.750 0.500
Se: 0.250 0.500 0.000
Se: 0.500 0.000 0.250
Se: 0.500 0.000 0.750
Se: 0.750 0.500 0.000
O: 0.000 0.500 0.250
O: 0.000 0.500 0.750
O: 0.250 0.000 0.500
O: 0.500 0.250 0.000
O: 0.500 0.750 0.000
O: 0.750 0.000 0.500

Summary:
Offset from the most stable computed form, eV per formula unit: 2.06
Energy relative to the elements, uncorrected, eV per formula unit: 1.3

---

An optimized crystal structure of SeO3, computed with PBE.

Lattice parameters (Å, degrees): 4.724 5.582 10.925 90.00 90.00 90.00
Atoms (fractional coordinates):
Se: 0.189 0.151 0.091
Se: 0.311 0.849 0.591
Se: 0.689 0.349 0.909
Se: 0.811 0.651 0.409
O: 0.184 0.697 0.452
O: 0.248 0.132 0.583
O: 0.248 0.314 0.210
O: 0.252 0.686 0.710
O: 0.252 0.868 0.083
O: 0.316 0.303 0.952
O: 0.684 0.803 0.548
O: 0.748 0.186 0.790
O: 0.748 0.368 0.417
O: 0.752 0.632 0.917
O: 0.752 0.814 0.290
O: 0.816 0.197 0.048

Summary:
Energy relative to the elements, uncorrected, eV per formula unit: -1.3

---

An optimized crystal structure of SeO, computed with PBE.

Lattice parameters (Å, degrees): 11.683 4.344 5.137 90.00 90.00 90.00
Atoms (fractional coordinates):
Se: 0.000 0.052 0.000
Se: 0.241 0.084 0.560
Se: 0.259 0.916 0.060
Se: 0.500 0.948 0.500
Se: 0.741 0.916 0.060
Se: 0.759 0.084 0.560
O: 0.000 0.062 0.679
O: 0.111 0.762 0.071
O: 0.389 0.238 0.571
O: 0.500 0.938 0.179
O: 0.611 0.238 0.571
O: 0.889 0.762 0.071

Summary:
Offset from the most stable computed form, eV per formula unit: 0.09
Energy relative to the elements, uncorrected, eV per formula unit: -0.7

---

An optimized crystal structure of SeO, computed with PBE.

Lattice parameters (Å, degrees): 4.196 4.433 4.513 96.66 107.49 93.24
Atoms (fractional coordinates):
Se: 0.000 0.000 0.000
Se: 0.249 0.572 0.756
O: 0.067 0.929 0.367
O: 0.343 0.327 0.072

Summary:
Offset from the most stable computed form, eV per formula unit: 0.04
Energy relative to the elements, uncorrected, eV per formula unit: -0.7

---

An optimized crystal structure of SeO, computed with PBE.

Lattice parameters (Å, degrees): 3.418 3.418 3.418 60.00 60.00 60.00
Atoms (fractional coordinates):
Se: 0.000 0.000 0.000
O: 0.500 0.500 0.500

Summary:
Offset from the most stable computed form, eV per formula unit: 1.88
Energy relative to the elements, uncorrected, eV per formula unit: 1.1

---

An optimized crystal structure of SeO, computed with PBE.

Lattice parameters (Å, degrees): 4.437 3.715 5.066 90.00 114.51 90.00
Atoms (fractional coordinates):
Se: 0.000 0.000 0.000
Se: 0.211 0.500 0.407
O: 0.333 0.000 0.922
O: 0.608 0.500 0.457

Summary:
Offset from the most stable computed form, eV per formula unit: 0.04
Energy relative to the elements, uncorrected, eV per formula unit: -0.7

---

An optimized crystal structure of SeO, computed with PBE.

Lattice parameters (Å, degrees): 4.388 10.850 5.266 90.00 90.00 90.00
Atoms (fractional coordinates):
Se: 0.250 0.103 0.186
Se: 0.250 0.397 0.186
Se: 0.250 0.750 0.117
Se: 0.750 0.250 0.883
Se: 0.750 0.603 0.814
Se: 0.750 0.897 0.814
O: 0.250 0.250 0.358
O: 0.250 0.619 0.899
O: 0.250 0.881 0.899
O: 0.750 0.119 0.101
O: 0.750 0.381 0.101
O: 0.750 0.750 0.642

Summary:
Offset from the most stable computed form, eV per formula unit: 0.58
Energy relative to the elements, uncorrected, eV per formula unit: -0.2

---

An optimized crystal structure of SeO3, computed with PBE.

Lattice parameters (Å, degrees): 6.341 6.341 5.191 113.39 113.39 47.97
Atoms (fractional coordinates):
Se: 0.000 0.000 0.000
Se: 0.577 0.577 0.694
O: 0.156 0.156 0.208
O: 0.225 0.705 0.740
O: 0.498 0.918 0.857
O: 0.524 0.524 0.345
O: 0.705 0.225 0.740
O: 0.918 0.498 0.857

Summary:
Energy relative to the elements, uncorrected, eV per formula unit: -0.3

---

An optimized crystal structure of Si2SeO, computed with PBE.

Lattice parameters (Å, degrees): 4.347 4.347 4.347 60.00 60.00 60.00
Atoms (fractional coordinates):
Si: 0.250 0.250 0.250
Si: 0.750 0.750 0.750
Se: 0.000 0.000 0.000
O: 0.500 0.500 0.500

Summary:
Offset from the most stable computed form, eV per formula unit: 2.52
Energy relative to the elements, uncorrected, eV per formula unit: 1.5

---

An optimized crystal structure of Si2Se2O, computed with PBE.

Lattice parameters (Å, degrees): 4.880 4.880 4.880 113.07 113.07 102.48
Atoms (fractional coordinates):
Si: 0.229 0.229 0.000
Si: 0.771 0.771 0.000
Se: 0.250 0.750 0.500
Se: 0.750 0.250 0.500
O: 0.500 0.500 0.000

Summary:
Offset from the most stable computed form, eV per formula unit: 0.00
Energy relative to the elements, uncorrected, eV per formula unit: -2.7

---

An optimized crystal structure of SiSe3O, computed with PBE.

Lattice parameters (Å, degrees): 4.508 4.508 4.508 90.00 90.00 90.00
Atoms (fractional coordinates):
Si: 0.000 0.000 0.000
Se: 0.000 0.500 0.500
Se: 0.500 0.000 0.500
Se: 0.500 0.500 0.000
O: 0.500 0.500 0.500

Summary:
Offset from the most stable computed form, eV per formula unit: 0.00
Energy relative to the elements, uncorrected, eV per formula unit: 2.8

---

An optimized crystal structure of SiSe3O, computed with PBE.

Lattice parameters (Å, degrees): 4.745 4.745 4.745 90.00 90.00 90.00
Atoms (fractional coordinates):
Si: 0.000 0.000 0.000
Se: 0.000 0.000 0.500
Se: 0.000 0.500 0.000
Se: 0.500 0.000 0.000
O: 0.500 0.500 0.500

Summary:
Offset from the most stable computed form, eV per formula unit: 1.96
Energy relative to the elements, uncorrected, eV per formula unit: 4.8

---

An optimized crystal structure of Si2SeO, computed with PBE.

Lattice parameters (Å, degrees): 7.215 7.215 7.215 144.09 144.09 51.69
Atoms (fractional coordinates):
Si: 0.375 0.240 0.365
Si: 0.760 0.125 0.135
Si: 0.875 0.010 0.635
Si: 0.990 0.625 0.865
Se: 0.250 0.750 0.500
Se: 0.500 0.500 0.000
O: 0.000 0.000 0.000
O: 0.750 0.250 0.500

Summary:
Offset from the most stable computed form, eV per formula unit: 0.00
Energy relative to the elements, uncorrected, eV per formula unit: -1.0

---

An optimized crystal structure of Si2Se2O, computed with PBE.

Lattice parameters (Å, degrees): 6.701 6.701 3.636 90.00 90.00 90.00
Atoms (fractional coordinates):
Si: 0.192 0.308 0.000
Si: 0.308 0.808 0.000
Si: 0.692 0.192 0.000
Si: 0.808 0.692 0.000
Se: 0.148 0.648 0.500
Se: 0.352 0.148 0.500
Se: 0.648 0.852 0.500
Se: 0.852 0.352 0.500
O: 0.000 0.000 0.000
O: 0.500 0.500 0.000

Summary:
Offset from the most stable computed form, eV per formula unit: 3.56
Energy relative to the elements, uncorrected, eV per formula unit: 0.9

---

An optimized crystal structure of Sm4SiSe2O, computed with PBE.

Lattice parameters (Å, degrees): 6.849 4.032 7.196 90.00 109.09 90.00
Atoms (fractional coordinates):
Sm: 0.228 0.000 0.217
Sm: 0.240 0.500 0.777
Sm: 0.760 0.500 0.223
Sm: 0.772 0.000 0.783
Si: 0.500 0.000 0.000
Se: 0.000 0.000 0.500
Se: 0.500 0.500 0.500
O: 0.000 0.500 0.000

Summary:
Energy relative to the elements, uncorrected, eV per formula unit: -13.7

---

An optimized crystal structure of Sm4Si2Se3O7, computed with PBE.

Lattice parameters (Å, degrees): 11.157 11.157 11.157 114.43 114.43 99.96
Atoms (fractional coordinates):
Sm: 0.047 0.297 0.095
Sm: 0.047 0.953 0.750
Sm: 0.177 0.667 0.510
Sm: 0.297 0.047 0.595
Sm: 0.297 0.703 0.250
Sm: 0.333 0.344 0.510
Sm: 0.333 0.823 0.990
Sm: 0.344 0.333 0.010
Sm: 0.656 0.667 0.990
Sm: 0.667 0.177 0.010
Sm: 0.667 0.656 0.490
Sm: 0.703 0.297 0.750
Sm: 0.703 0.953 0.405
Sm: 0.823 0.333 0.490
Sm: 0.953 0.047 0.250
Sm: 0.953 0.703 0.905
Si: 0.093 0.219 0.626
Si: 0.093 0.468 0.874
Si: 0.219 0.093 0.126
Si: 0.468 0.093 0.374
Si: 0.532 0.907 0.626
Si: 0.781 0.907 0.874
Si: 0.907 0.532 0.126
Si: 0.907 0.781 0.374
Se: 0.000 0.355 0.355
Se: 0.000 0.645 0.645
Se: 0.125 0.875 0.250
Se: 0.355 0.000 0.855
Se: 0.355 0.500 0.355
Se: 0.375 0.625 0.750
Se: 0.500 0.355 0.855
Se: 0.500 0.645 0.145
Se: 0.625 0.375 0.250
Se: 0.645 0.000 0.145
Se: 0.645 0.500 0.645
Se: 0.875 0.125 0.750
O: 0.079 0.568 0.229
O: 0.079 0.850 0.511
O: 0.142 0.392 0.750
O: 0.150 0.161 0.229
O: 0.150 0.921 0.989
O: 0.161 0.150 0.729
O: 0.161 0.432 0.011
O: 0.169 0.191 0.522
O: 0.169 0.648 0.978
O: 0.191 0.169 0.022
O: 0.352 0.831 0.522
O: 0.392 0.142 0.250
O: 0.432 0.161 0.511
O: 0.432 0.921 0.271
O: 0.568 0.079 0.729
O: 0.568 0.839 0.489
O: 0.608 0.858 0.750
O: 0.648 0.169 0.478
O: 0.809 0.831 0.978
O: 0.831 0.352 0.022
O: 0.831 0.809 0.478
O: 0.839 0.568 0.989
O: 0.839 0.850 0.271
O: 0.850 0.079 0.011
O: 0.850 0.839 0.771
O: 0.858 0.608 0.250
O: 0.921 0.150 0.489
O: 0.921 0.432 0.771

Summary:
Energy relative to the elements, uncorrected, eV per formula unit: -44.7

---

An optimized crystal structure of Sm8Si3Se4O, computed with PBE.

Lattice parameters (Å, degrees): 8.332 8.332 8.332 59.06 59.06 59.06
Atoms (fractional coordinates):
Sm: 0.247 0.247 0.247
Sm: 0.253 0.737 0.737
Sm: 0.263 0.263 0.747
Sm: 0.263 0.747 0.263
Sm: 0.737 0.253 0.737
Sm: 0.737 0.737 0.253
Sm: 0.747 0.263 0.263
Sm: 0.753 0.753 0.753
Si: 0.000 0.000 0.500
Si: 0.000 0.500 0.000
Si: 0.500 0.000 0.000
Se: 0.000 0.000 0.000
Se: 0.000 0.500 0.500
Se: 0.500 0.000 0.500
Se: 0.500 0.500 0.000
O: 0.500 0.500 0.500

Summary:
Energy relative to the elements, uncorrected, eV per formula unit: -24.2

---

An optimized crystal structure of SiSnSeO, computed with PBE.

Lattice parameters (Å, degrees): 6.437 6.437 3.573 91.06 91.06 31.73
Atoms (fractional coordinates):
Si: 0.000 0.000 0.000
Sn: 0.683 0.683 0.431
Se: 0.370 0.370 0.976
O: 0.044 0.044 0.508

Summary:
Offset from the most stable computed form, eV per formula unit: 0.85
Energy relative to the elements, uncorrected, eV per formula unit: -2.4